Below is a relaxed structure of NaMnAlFe, with properties calculated at the PBE-GGA level.

The calculation puts the total energy at -5.272 eV per atom. The density of states at the Fermi level comes out at 0.707 states/eV/atom. Its space-group type is Cm (8). The energy above the most stable polymorph in this dataset comes out at 196.2 meV per atom. The calculation puts the total moment at 6.11 μB/f.u.

Lattice parameters (Å, degrees): 5.9076 2.7102 8.8207 90.00 94.93 90.00
Closest atoms and distances in Å follow each position.
Element x y z (fractional)
Al: 0.3927 0.0000 0.8336  3 Fe 2.58-2.59, 3 Mn 2.67-2.68, 2 Al 2.71
Al: 0.3927 0.5000 0.3336  3 Fe 2.58-2.59, 3 Mn 2.67-2.68, 2 Al 2.71
Fe: 0.2362 0.0000 0.0985  2 Mn 2.51, 3 Al 2.58-2.59, 2 Fe 2.71
Fe: 0.2362 0.5000 0.5985  2 Mn 2.51, 3 Al 2.58-2.59, 2 Fe 2.71
Na: 0.9105 0.0000 0.3361  2 Na 2.71, 1 Mn 2.93, 1 Fe 2.96
Na: 0.9105 0.5000 0.8361  2 Na 2.71, 1 Mn 2.93, 1 Fe 2.96
Mn: 0.5882 0.0000 0.5714  2 Fe 2.51, 3 Al 2.67-2.68, 2 Mn 2.71
Mn: 0.5882 0.5000 0.0714  2 Fe 2.51, 3 Al 2.67-2.68, 2 Mn 2.71



Below is a relaxed structure of Dy4Er11Tm9, with properties calculated at the PBE-GGA level.

The calculation puts the total energy at -4.483 eV per atom. The density of states at the Fermi level comes out at 1.253 states/eV/atom. Its space-group type is Cmmm (65). The calculation puts the total moment at 0.33 μB/f.u.

Lattice parameters (Å, degrees): 3.6084 14.8526 14.8526 112.86 90.00 90.00
Closest atoms and distances in Å follow each position.
Element x y z (fractional)
Dy: 0.5000 0.2442 0.4461  6 Er 3.21-3.33, 3 Tm 3.41-3.56
Dy: 0.5000 0.5539 0.7558  6 Er 3.21-3.33, 3 Tm 3.41-3.56
Dy: 0.5000 0.7558 0.5539  6 Er 3.21-3.33, 3 Tm 3.41-3.56
Dy: 0.5000 0.4461 0.2442  6 Er 3.21-3.33, 3 Tm 3.41-3.56
Tm: 0.5000 0.3676 0.8362  3 Tm 3.35-3.61, 1 Dy 3.41, 8 Er 3.43-3.61
Tm: 0.5000 0.8362 0.3676  3 Tm 3.35-3.61, 1 Dy 3.41, 8 Er 3.43-3.61
Tm: 0.5000 0.9312 0.7863  1 Dy 3.42, 8 Er 3.44-3.64, 3 Tm 3.59-3.61
Tm: 0.5000 0.7863 0.9312  1 Dy 3.42, 8 Er 3.44-3.64, 3 Tm 3.59-3.61
Tm: 0.5000 0.2137 0.0688  1 Dy 3.42, 8 Er 3.44-3.64, 3 Tm 3.59-3.61
Tm: 0.5000 0.1638 0.6324  3 Tm 3.35-3.61, 1 Dy 3.41, 8 Er 3.43-3.61
Tm: 0.5000 0.0688 0.2137  1 Dy 3.42, 8 Er 3.44-3.64, 3 Tm 3.59-3.61
Tm: 0.5000 0.5000 0.5000  4 Dy 3.56, 2 Tm 3.61, 8 Er 3.76-3.87
Tm: 0.5000 0.6324 0.1638  3 Tm 3.35-3.61, 1 Dy 3.41, 8 Er 3.43-3.61
Er: 0.0000 0.4068 0.0444  2 Dy 3.33, 6 Tm 3.43-3.61, 3 Er 3.50-3.61
Er: 0.0000 0.8407 0.1593  8 Tm 3.61-3.64, 5 Er 3.61-3.94
Er: 0.0000 0.0444 0.4068  2 Dy 3.33, 6 Tm 3.43-3.61, 3 Er 3.50-3.61
Er: 0.0000 0.3666 0.6334  4 Dy 3.22, 4 Tm 3.51
Er: 0.0000 0.0000 0.0000  8 Tm 3.44, 2 Er 3.61
Er: 0.0000 0.6334 0.3666  4 Dy 3.22, 4 Tm 3.51
Er: 0.0000 0.2913 0.2913  4 Dy 3.21, 4 Tm 3.54
Er: 0.0000 0.5932 0.9556  2 Dy 3.33, 6 Tm 3.43-3.61, 3 Er 3.50-3.61
Er: 0.0000 0.7087 0.7087  4 Dy 3.21, 4 Tm 3.54
Er: 0.0000 0.1593 0.8407  8 Tm 3.61-3.64, 5 Er 3.61-3.94
Er: 0.0000 0.9556 0.5932  2 Dy 3.33, 6 Tm 3.43-3.61, 3 Er 3.50-3.61



Below is a relaxed structure of Th2BeAl3Au4, with properties calculated at the PBE-GGA level.

The calculation puts the total energy at -4.904 eV per atom. The density of states at the Fermi level comes out at 0.467 states/eV/atom. Its space-group type is P-4m2 (115). The calculation puts the total moment at 0.00 μB/f.u.

Lattice parameters (Å, degrees): 4.3947 4.3947 10.2530 90.00 90.00 90.00
Closest atoms and distances in Å follow each position.
Element x y z (fractional)
Be: 0.5000 0.5000 0.5000  4 Au 2.52
Th: 0.5000 0.0000 0.2569  2 Be 3.32, 6 Al 3.32-3.34, 9 Au 3.36-3.72
Th: 0.0000 0.5000 0.7431  2 Be 3.32, 6 Al 3.32-3.34, 9 Au 3.36-3.72
Au: 0.0000 0.0000 0.0000  4 Al 2.61
Au: 0.5000 0.0000 0.6195  3 Al 2.50-2.52, 2 Be 2.52
Au: 0.0000 0.5000 0.3805  3 Al 2.50-2.52, 2 Be 2.52
Au: 0.5000 0.5000 0.0000  4 Al 2.61
Al: 0.5000 0.0000 0.8635  5 Au 2.50-2.61
Al: 0.0000 0.0000 0.5000  4 Au 2.52
Al: 0.0000 0.5000 0.1365  5 Au 2.50-2.61